Record 1
A geometry-optimized WBrCl2 structure, computed with PBE-GGA.

- energy above the lowest structure with this stoichiometry (kJ/mol of formula units) = 267
- ΔE_f (raw) (eV per atom) = 0.344

Unit cell a=7.0577 b=7.0577 c=6.7719 alpha=58.59 beta=58.59 gamma=90.00
Last column: nearest neighbours and their distance in Å.
Fractional coordinates of all 8 atoms:
Br: 0.2500 0.7500 0.5000  4 Cl 3.39
Cl: 0.7516 0.1250 0.2500  2 W 2.28
Cl: 0.3750 0.2484 0.7500  2 W 2.28
W: 0.0000 0.0000 0.0000  4 Cl 2.28
Cl: 0.8750 0.0016 0.7500  2 W 2.28
Br: 0.5000 0.5000 0.0000  4 Cl 3.39
W: 0.7500 0.2500 0.5000  4 Cl 2.28
Cl: 0.9984 0.6250 0.2500  2 W 2.28

Record 2
A geometry-optimized Cs4Tm3TiSe8 structure, computed with PBE-GGA.

- ΔE_f (raw) (eV per atom) = -1.540

Unit cell a=8.3015 b=9.6085 c=8.3032 alpha=115.61 beta=119.99 gamma=90.00
Last column: nearest neighbours and their distance in Å.
Fractional coordinates of all 16 atoms:
Se: 0.7409 0.6788 0.9599  1 Ti 2.73, 2 Tm 2.87
Tm: 0.5000 0.5000 0.5000  6 Se 2.85-2.87
Se: 0.2717 0.3150 0.5433  3 Tm 2.85
Cs: 0.0000 0.0000 0.5000  6 Se 3.55-3.56
Se: 0.2190 0.6788 0.9599  1 Ti 2.73, 2 Tm 2.87
Cs: 0.5000 0.0000 0.5000  6 Se 3.55-3.56
Cs: 0.5000 0.0000 0.0000  6 Se 3.66
Tm: 0.5000 0.5000 0.0000  6 Se 2.85-2.87
Se: 0.7283 0.6850 0.4567  3 Tm 2.85
Cs: 0.0000 0.0000 0.0000  6 Se 3.55-3.56
Se: 0.2191 0.6789 0.4381  1 Ti 2.73, 2 Tm 2.87
Ti: 0.0000 0.5000 0.0000  6 Se 2.73
Tm: 0.0000 0.5000 0.5000  6 Se 2.85-2.87
Se: 0.7810 0.3212 0.0401  1 Ti 2.73, 2 Tm 2.87
Se: 0.2591 0.3212 0.0401  1 Ti 2.73, 2 Tm 2.87
Se: 0.7809 0.3211 0.5619  1 Ti 2.73, 2 Tm 2.87

Record 3
A geometry-optimized La5Pr4Er2 structure, computed with PBE-GGA.

- energy above the lowest structure with this stoichiometry (kJ/mol of formula units) = 14
- E_form (eV per formula unit) = 0.94

Unit cell a=3.6198 b=8.9166 c=12.4792 alpha=94.44 beta=98.34 gamma=90.00
Last column: nearest neighbours and their distance in Å.
Fractional coordinates of all 11 atoms:
La: 0.8178 0.5241 0.6355  4 Pr 3.62-3.69, 5 La 3.62-3.94, 2 Er 3.67
Pr: 0.9604 0.6527 0.9207  3 Pr 3.48-3.62, 4 Er 3.60-3.71, 4 La 3.62-3.65
La: 0.1309 0.0467 0.2617  4 Pr 3.62-3.67, 5 La 3.62-3.94, 2 Er 3.70
Er: 0.5865 0.6966 0.1730  5 Pr 3.56-3.71, 5 La 3.58-3.70, 2 Er 3.62
Pr: 0.2735 0.1753 0.5469  1 Er 3.56, 6 La 3.62-3.69, 4 Pr 3.62-3.72
La: 0.8691 0.9533 0.7383  4 Pr 3.62-3.67, 5 La 3.62-3.94, 2 Er 3.70
Er: 0.4135 0.3034 0.8270  5 Pr 3.56-3.71, 5 La 3.58-3.70, 2 Er 3.62
Pr: 0.7265 0.8247 0.4531  1 Er 3.56, 6 La 3.62-3.69, 4 Pr 3.62-3.72
La: 0.5000 0.0000 0.0000  2 Er 3.58, 6 La 3.62-3.70, 4 Pr 3.65
Pr: 0.0396 0.3473 0.0793  3 Pr 3.48-3.62, 4 Er 3.60-3.71, 4 La 3.62-3.65
La: 0.1822 0.4759 0.3645  4 Pr 3.62-3.69, 5 La 3.62-3.94, 2 Er 3.67

Record 4
A geometry-optimized La11Cd9Rh4 structure, computed with PBE-GGA.

- E_form (eV per formula unit) = -12.48

Unit cell a=3.8812 b=13.5753 c=13.5753 alpha=112.67 beta=90.00 gamma=90.00
Last column: nearest neighbours and their distance in Å.
Fractional coordinates of all 24 atoms:
La: 0.0000 0.4173 0.0808  2 Rh 2.88
La: 0.0000 0.5827 0.9192  2 Rh 2.88
Rh: 0.5000 0.7521 0.5485  6 La 2.88-3.07, 3 Cd 3.15-3.23
Rh: 0.5000 0.4515 0.2479  6 La 2.88-3.07, 3 Cd 3.15-3.23
Cd: 0.5000 0.0756 0.2161  1 Rh 3.15, 1 Cd 3.17, 6 La 3.33-3.52
La: 0.0000 0.6903 0.6903  4 Rh 3.07
La: 0.0000 0.8401 0.1599  8 Cd 3.38-3.56, 3 La 3.61-3.75
La: 0.0000 0.6268 0.3732  4 Rh 3.03
La: 0.0000 0.0000 0.0000  8 Cd 3.33, 2 La 3.61
Rh: 0.5000 0.5485 0.7521  6 La 2.88-3.07, 3 Cd 3.15-3.23
La: 0.0000 0.1599 0.8401  8 Cd 3.38-3.56, 3 La 3.61-3.75
Cd: 0.5000 0.9244 0.7839  1 Rh 3.15, 1 Cd 3.17, 6 La 3.33-3.52
Rh: 0.5000 0.2479 0.4515  6 La 2.88-3.07, 3 Cd 3.15-3.23
La: 0.0000 0.3097 0.3097  4 Rh 3.07
Cd: 0.5000 0.2161 0.0756  1 Rh 3.15, 1 Cd 3.17, 6 La 3.33-3.52
Cd: 0.5000 0.3640 0.8408  1 Cd 3.08, 1 Rh 3.17, 4 La 3.36-3.38
Cd: 0.5000 0.1592 0.6360  1 Cd 3.08, 1 Rh 3.17, 4 La 3.36-3.38
Cd: 0.5000 0.6360 0.1592  1 Cd 3.08, 1 Rh 3.17, 4 La 3.36-3.38
Cd: 0.5000 0.5000 0.5000  4 Rh 3.23, 8 La 3.46
La: 0.0000 0.3732 0.6268  4 Rh 3.03
Cd: 0.5000 0.7839 0.9244  1 Rh 3.15, 1 Cd 3.17, 6 La 3.33-3.52
Cd: 0.5000 0.8408 0.3640  1 Cd 3.08, 1 Rh 3.17, 4 La 3.36-3.38
La: 0.0000 0.9192 0.5827  2 Rh 2.88
La: 0.0000 0.0808 0.4173  2 Rh 2.88

Record 5
A geometry-optimized Ag3SeF structure, computed with PBE-GGA.

- energy above the lowest structure with this stoichiometry (kJ/mol of formula units) = 140
- ΔE_f (raw) (eV per atom) = -0.184

Unit cell a=4.6283 b=4.6283 c=4.6283 alpha=90.00 beta=90.00 gamma=90.00
Last column: nearest neighbours and their distance in Å.
Fractional coordinates of all 5 atoms:
Ag: 0.5000 0.0000 0.0000  2 F 2.31
Ag: 0.0000 0.0000 0.5000  2 F 2.31
Se: 0.5000 0.5000 0.5000  12 Ag 3.27
F: 0.0000 0.0000 0.0000  6 Ag 2.31
Ag: 0.0000 0.5000 0.0000  2 F 2.31

Record 6
A geometry-optimized CrAg2C structure, computed with PBE-GGA.

- energy above the lowest structure with this stoichiometry (kJ/mol of formula units) = 0
- E_form (eV per formula unit) = 5.64

Unit cell a=3.5791 b=3.5791 c=10.0444 alpha=79.74 beta=79.74 gamma=90.00
Last column: nearest neighbours and their distance in Å.
Fractional coordinates of all 8 atoms:
Ag: 0.3750 0.3792 0.7500  4 Ag 2.51-2.55, 2 C 2.73, 2 Cr 2.74
Cr: 0.0000 0.0000 0.0000  4 C 2.53, 4 Ag 2.74
Ag: 0.1292 0.6250 0.2500  4 Ag 2.51-2.55, 2 C 2.73, 2 Cr 2.74
Ag: 0.6208 0.1250 0.2500  4 Ag 2.51-2.55, 2 C 2.73, 2 Cr 2.74
C: 0.5000 0.5000 0.0000  4 Cr 2.53, 4 Ag 2.73
Ag: 0.8750 0.8708 0.7500  4 Ag 2.51-2.55, 2 C 2.73, 2 Cr 2.74
C: 0.2500 0.7500 0.5000  4 Cr 2.53, 4 Ag 2.73
Cr: 0.7500 0.2500 0.5000  4 C 2.53, 4 Ag 2.74

Number 1: volume 228.0 Å³ per cell. Number 2: volume 497.1 Å³ per cell. Number 3: volume 397.3 Å³ per cell. Number 4: volume 660.0 Å³ per cell. Number 5: volume 99.1 Å³ per cell. Number 6: volume 124.5 Å³ per cell.